First-principles (PBE) data for a relaxed structure of LiSc3Ga3, as listed in Alexandria.

Values from the calculation:
- formation energy from the elements (meV/atom) = -478
- total moment (μB/f.u.) = 0.0
- E (eV per atom) = -4.762
- space-group type = C2/m (12)

a b c (Å): 5.5366 5.5366 13.4235
angles (deg): 107.86 107.86 44.15
With the nearest neighbours (Å) after each atom.
Positions (direct):
Li1 0.2381 0.2381 0.4025  4 Ga 2.46-2.68
Li2 0.7619 0.7619 0.5975  4 Ga 2.46-2.68
Sc1 0.2656 0.2656 0.7806  6 Ga 2.84-3.04
Sc2 0.3984 0.3984 0.0783  7 Ga 2.87-3.07
Sc3 0.4715 0.4715 0.6214  6 Ga 2.86-3.07, 4 Li 2.93-3.12
Sc4 0.5285 0.5285 0.3786  6 Ga 2.86-3.07, 4 Li 2.93-3.12
Sc5 0.6016 0.6016 0.9217  7 Ga 2.87-3.07
Sc6 0.7344 0.7344 0.2194  6 Ga 2.84-3.04
Ga1 0.0237 0.0237 0.2314  1 Ga 2.59, 1 Li 2.60, 2 Sc 2.86
Ga2 0.1166 0.1166 0.0737  2 Ga 2.55-2.59, 2 Sc 2.84
Ga3 0.1258 0.1258 0.5563  3 Li 2.46-2.68, 1 Ga 2.52
Ga4 0.8742 0.8742 0.4437  3 Li 2.46-2.68, 1 Ga 2.52
Ga5 0.8834 0.8834 0.9263  2 Ga 2.55-2.59, 2 Sc 2.84
Ga6 0.9763 0.9763 0.7686  1 Ga 2.59, 1 Li 2.60, 2 Sc 2.86


First-principles (PBE) data for a relaxed structure of Na3PrC4O12, as listed in Alexandria.

Values from the calculation:
- formation energy without anion corrections (meV per atom) = -1704
- total moment (μB/f.u.) = 2.0
- E (eV per atom) = -6.960
- space-group type = R32 (155)

a b c (Å): 6.5653 6.5653 6.5653
angles (deg): 100.57 100.57 100.57
With the nearest neighbours (Å) after each atom.
Positions (direct):
Na1 0.0000 0.5311 0.4689  6 O 2.38-2.42
Na2 0.4689 0.0000 0.5311  6 O 2.38-2.42
Na3 0.5311 0.4689 0.0000  6 O 2.38-2.42
Pr1 0.0000 0.0000 0.0000  6 O 2.48
C1 0.0313 0.5000 0.9687  3 O 1.28-1.30
C2 0.5000 0.5000 0.5000  3 O 1.28
C3 0.5000 0.9687 0.0313  3 O 1.28-1.30
C4 0.9687 0.0313 0.5000  3 O 1.28-1.30
O1 0.0378 0.6377 0.8492  1 C 1.30
O2 0.0951 0.9049 0.5000  1 C 1.28
O3 0.1508 0.3623 0.9622  1 C 1.30
O4 0.3623 0.9622 0.1508  1 C 1.30
O5 0.3735 0.6265 0.5000  1 C 1.28
O6 0.5000 0.0951 0.9049  1 C 1.28
O7 0.5000 0.3735 0.6265  1 C 1.28
O8 0.6265 0.5000 0.3735  1 C 1.28
O9 0.6377 0.8492 0.0378  1 C 1.30
O10 0.8492 0.0378 0.6377  1 C 1.30
O11 0.9049 0.5000 0.0951  1 C 1.28
O12 0.9622 0.1508 0.3623  1 C 1.30


First-principles (PBE) data for a relaxed structure of PmBRh, as listed in Alexandria.

Values from the calculation:
- formation energy from the elements (meV/atom) = -150
- total moment (μB/f.u.) = 0.0
- E (eV per atom) = -6.410
- space-group type = I4mm (107)

a b c (Å): 5.6253 5.6253 5.6253
angles (deg): 148.95 148.95 44.49
With the nearest neighbours (Å) after each atom.
Positions (direct):
Pm1 0.0000 0.0000 0.0000  5 Rh 2.87-3.16, 5 B 2.97-3.13, 4 Pm 3.01
B1 0.6992 0.6992 0.0000  4 Rh 2.27
Rh1 0.2756 0.2756 0.0000  4 B 2.27


First-principles (PBE) data for a relaxed structure of HoTm2Th4, as listed in Alexandria.

Values from the calculation:
- formation energy from the elements (meV/atom) = 244
- total moment (μB/f.u.) = 0.0
- E (eV per atom) = -5.928
- space-group type = C2/c (15)

a b c (Å): 6.8383 6.8383 11.6013
angles (deg): 90.03 90.03 121.66
With the nearest neighbours (Å) after each atom.
Positions (direct):
Ho1 0.1579 0.8421 0.7500  2 Th 3.37, 1 Tm 3.42
Ho2 0.8421 0.1579 0.2500  2 Th 3.37, 1 Tm 3.42
Tm1 0.1283 0.8717 0.2500  6 Th 3.25-3.63, 1 Ho 3.42, 2 Tm 3.60
Tm2 0.4853 0.5147 0.7500  4 Th 3.42, 2 Tm 3.60
Tm3 0.5147 0.4853 0.2500  4 Th 3.42, 2 Tm 3.60
Tm4 0.8717 0.1283 0.7500  6 Th 3.25-3.63, 1 Ho 3.42, 2 Tm 3.60
Th1 0.2302 0.2300 0.9996  3 Th 3.07-3.24, 2 Tm 3.42
Th2 0.2300 0.2302 0.4996  3 Th 3.07-3.24, 2 Tm 3.42
Th3 0.2746 0.7251 0.0143  6 Th 3.24-3.63, 1 Tm 3.25, 1 Ho 3.37
Th4 0.2749 0.7254 0.4857  6 Th 3.24-3.63, 1 Tm 3.25, 1 Ho 3.37
Th5 0.7251 0.2746 0.5143  6 Th 3.24-3.63, 1 Tm 3.25, 1 Ho 3.37
Th6 0.7254 0.2749 0.9857  6 Th 3.24-3.63, 1 Tm 3.25, 1 Ho 3.37
Th7 0.7698 0.7700 0.0004  3 Th 3.07-3.24, 2 Tm 3.42
Th8 0.7700 0.7698 0.5004  3 Th 3.07-3.24, 2 Tm 3.42


First-principles (PBE) data for a relaxed structure of RbLaBC2, as listed in Alexandria.

Values from the calculation:
- formation energy from the elements (meV/atom) = 3508
- total moment (μB/f.u.) = 1.2
- E (eV per atom) = -2.696
- space-group type = P4/mmm (123)

a b c (Å): 4.4873 4.4873 5.7947
angles (deg): 90.00 90.00 90.00
With the nearest neighbours (Å) after each atom.
Positions (direct):
Rb1 0.0000 0.0000 0.0000  4 C 2.24
La1 0.0000 0.0000 0.5000  2 Rb 2.90, 4 B 3.17
B1 0.5000 0.5000 0.5000  4 La 3.17
C1 0.0000 0.5000 0.0000  2 Rb 2.24
C2 0.5000 0.0000 0.0000  2 Rb 2.24


First-principles (PBE) data for a relaxed structure of K2RbMgS, as listed in Alexandria.

Values from the calculation:
- formation energy without anion corrections (meV per atom) = 607
- total moment (μB/f.u.) = 0.0
- E (eV per atom) = -1.170
- space-group type = P4/mmm (123)

a b c (Å): 6.9720 6.9720 6.3679
angles (deg): 90.00 90.00 90.00
With the nearest neighbours (Å) after each atom.
Positions (direct):
K1 0.0000 0.5000 0.0000  2 Rb 3.49
K2 0.5000 0.0000 0.0000  2 Rb 3.49
Rb1 0.0000 0.0000 0.0000  2 Mg 3.18, 4 K 3.49
Mg1 0.0000 0.0000 0.5000  2 Rb 3.18
S1 0.5000 0.5000 0.5000  8 K 4.72, 4 Mg 4.93


First-principles (PBE) data for a relaxed structure of SrCd2Ru2O7, as listed in Alexandria.

Values from the calculation:
- formation energy without anion corrections (meV per atom) = -1206
- total moment (μB/f.u.) = 0.0
- E (eV per atom) = -5.937
- space-group type = Imm2 (44)

a b c (Å): 9.8026 9.8026 9.8026
angles (deg): 157.95 35.73 152.24
With the nearest neighbours (Å) after each atom.
Positions (direct):
Sr1 0.0000 0.0000 0.0000  6 O 2.59-2.61
Cd1 0.1821 0.4675 0.7146  5 O 2.28-2.37
Cd2 0.7529 0.4675 0.2854  5 O 2.28-2.37
Ru1 0.4044 0.0072 0.3972  4 O 1.88-1.99
Ru2 0.6100 0.0072 0.6028  4 O 1.88-1.99
O1 0.1797 0.5851 0.5947  1 Ru 1.99
O2 0.2464 0.9626 0.2838  1 Ru 2.13, 4 Cd 2.28-2.37
O3 0.4271 0.5306 0.8965  2 Ru 1.88
O4 0.6196 0.1196 0.5000  2 Ru 1.99
O5 0.6341 0.5306 0.1035  2 Ru 1.88
O6 0.6788 0.9626 0.7162  1 Ru 2.13, 4 Cd 2.28-2.37
O7 0.9904 0.5851 0.4053  1 Ru 1.99


First-principles (PBE) data for a relaxed structure of AsPd4Pt, as listed in Alexandria.

Values from the calculation:
- formation energy from the elements (meV/atom) = -185
- total moment (μB/f.u.) = 0.0
- E (eV per atom) = -5.428
- space-group type = C2/c (15)

a b c (Å): 6.8966 6.8966 5.0163
angles (deg): 109.81 109.81 106.69
With the nearest neighbours (Å) after each atom.
Positions (direct):
As1 0.1532 0.8468 0.7500  6 Pd 2.48-2.69, 3 Pt 2.51-2.66
As2 0.8468 0.1532 0.2500  6 Pd 2.48-2.69, 3 Pt 2.51-2.66
Pd1 0.1369 0.5333 0.2997  2 As 2.48-2.67, 3 Pd 2.74-2.78
Pd2 0.2749 0.3972 0.7641  1 As 2.69, 2 Pt 2.73-2.90, 8 Pd 2.73-2.94
Pd3 0.3972 0.2749 0.2641  1 As 2.69, 2 Pt 2.73-2.90, 8 Pd 2.73-2.94
Pd4 0.4667 0.8631 0.2003  2 As 2.48-2.67, 3 Pd 2.74-2.78
Pd5 0.5333 0.1369 0.7997  2 As 2.48-2.67, 3 Pd 2.74-2.78
Pd6 0.6028 0.7251 0.7359  1 As 2.69, 2 Pt 2.73-2.90, 8 Pd 2.73-2.94
Pd7 0.7251 0.6028 0.2359  1 As 2.69, 2 Pt 2.73-2.90, 8 Pd 2.73-2.94
Pd8 0.8631 0.4667 0.7003  2 As 2.48-2.67, 3 Pd 2.74-2.78
Pt1 0.0735 0.9265 0.2500  3 As 2.51-2.66, 2 Pd 2.73
Pt2 0.9265 0.0735 0.7500  3 As 2.51-2.66, 2 Pd 2.73


Q: Number 4 is which compound?
A: HoTm2Th4


Q: Among the records above, which one has the highest E?
A: K2RbMgS